1.
VASP calculation (PBE) on an optimized crystal structure of Tb8Pr3Tl.

The crystal system is tetragonal. For the calculated formation energy, the calculation gives 0.49 eV/atom.

It has space group I-42m (No. 121), with a = 8.714 Å, b = 8.714 Å, c = 11.343 Å, α = 90.00°, β = 90.00° and γ = 90.00°. The distinct sites, in fractional coordinates, are Tb at (0.126, 0.126, 0.253), Tb at (0.248, 0.248, 0.514), Pr at (0.000, 0.000, 0.500), Pr at (0.000, 0.500, 0.250) and Tl at (0.000, 0.000, 0.000).

2.
VASP calculation (PBE) on an optimized crystal structure of Tb5PrTl.

The crystal system is orthorhombic. For the calculated formation energy, the calculation gives 0.11 eV/atom.

It has space group Imm2 (No. 44), with a = 6.337 Å, b = 6.568 Å, c = 10.946 Å, α = 90.00°, β = 90.00° and γ = 90.00°. The distinct sites, in fractional coordinates, are Tb at (0.000, 0.000, 0.000), Tb at (0.000, 0.268, 0.253), Tb at (0.242, 0.500, 0.973), Pr at (0.000, 0.500, 0.623) and Tl at (0.000, 0.000, 0.725).

3.
VASP calculation (PBE) on an optimized crystal structure of Tb10Pr4Tl.

The crystal system is tetragonal. For the calculated formation energy, the calculation gives 0.18 eV/atom.

It has space group I4/mmm (No. 139), with a = 11.541 Å, b = 11.541 Å, c = 7.559 Å, α = 90.00°, β = 90.00° and γ = 90.00°. The distinct sites, in fractional coordinates, are Tb at (0.000, 0.206, 0.214), Tb at (0.000, 0.500, 0.250), Pr at (0.232, 0.232, 0.500) and Tl at (0.000, 0.000, 0.500).

4.
VASP calculation (PBE) on an optimized crystal structure of Tb3Pr3Tl.

The crystal system is hexagonal. For the calculated formation energy, the calculation gives -0.07 eV/atom.

It has space group P6_3/m (No. 176), with a = 9.5970 Å, b = 9.5970 Å, c = 5.6770 Å, α = 90.00°, β = 90.00° and γ = 120.00°. The distinct sites, in fractional coordinates, are Tb at (0.0594, 0.8230, 0.2500), Pr at (0.1068, 0.6322, 0.7500) and Tl at (0.3333, 0.6667, 0.2500).

5.
VASP calculation (PBE) on an optimized crystal structure of Tb2PrTl.

The crystal system is trigonal. For the calculated formation energy, the calculation gives -0.10 eV/atom. Its energy above the lowest structure with this stoichiometry is 0.085 eV per atom.

It has space group R3m (No. 160, hexagonal axes), with a = 3.6954 Å, b = 3.6954 Å, c = 32.5507 Å, α = 90.00°, β = 90.00° and γ = 120.00°. The distinct sites, in fractional coordinates, are Tb at (0.0000, 0.0000, 0.0000), Tb at (0.0000, 0.0000, 0.1817), Pr at (0.0000, 0.0000, 0.7578) and Tl at (0.0000, 0.0000, 0.5910).

6.
VASP calculation (PBE) on an optimized crystal structure of Tb2Pr3Tl3.

The crystal system is orthorhombic. For the calculated formation energy, the calculation gives -0.27 eV/atom.

It has space group Immm (No. 71), with a = 4.488 Å, b = 5.117 Å, c = 21.341 Å, α = 90.00°, β = 90.00° and γ = 90.00°. The distinct sites, in fractional coordinates, are Tb at (0.000, 0.000, 0.237), Pr at (0.000, 0.000, 0.000), Pr at (0.000, 0.500, 0.120), Tl at (0.000, 0.000, 0.500) and Tl at (0.000, 0.500, 0.369).

7.
VASP calculation (PBE) on an optimized crystal structure of TbPrTl.

The crystal system is trigonal. For the calculated formation energy, the calculation gives -0.17 eV/atom. Its energy above the lowest structure with this stoichiometry is 0.094 eV per atom.

It has space group P3m1 (No. 156), with a = 5.3436 Å, b = 5.3436 Å, c = 3.8062 Å, α = 90.00°, β = 90.00° and γ = 120.00°. The distinct sites, in fractional coordinates, are Tb at (0.0000, 0.0000, 0.0000), Pr at (0.6667, 0.3333, 0.5335) and Tl at (0.3333, 0.6667, 0.1253).

8.
VASP calculation (PBE) on an optimized crystal structure of Tb2Pr3Tl6.

The crystal system is tetragonal. For the calculated formation energy, the calculation gives -0.13 eV/atom.

It has space group I4/mmm (No. 139), with a = 4.879 Å, b = 4.879 Å, c = 29.300 Å, α = 90.00°, β = 90.00° and γ = 90.00°. The distinct sites, in fractional coordinates, are Tb at (0.000, 0.000, 0.054), Pr at (0.000, 0.000, 0.301), Pr at (0.000, 0.000, 0.500), Tl at (0.000, 0.000, 0.193) and Tl at (0.000, 0.500, 0.117).

9.
VASP calculation (PBE) on an optimized crystal structure of Tb2PrTl2.

The crystal system is triclinic. For the calculated formation energy, the calculation gives -0.28 eV/atom. Its energy above the lowest structure with this stoichiometry is 0.000 eV per atom.

It has space group P-1 (No. 2), with a = 5.306 Å, b = 6.899 Å, c = 8.707 Å, α = 70.98°, β = 89.93° and γ = 89.95°. The distinct sites, in fractional coordinates, are Tb at (0.250, 0.166, 0.461), Tb at (0.250, 0.331, 0.042), Pr at (0.250, 0.746, 0.253), Tl at (0.250, 0.581, 0.666) and Tl at (0.250, 0.925, 0.840).

10.
VASP calculation (PBE) on an optimized crystal structure of TbPr12Tl3.

The crystal system is tetragonal. For the calculated formation energy, the calculation gives -0.15 eV/atom.

It has space group P4/mmm (No. 123), with a = 5.042 Å, b = 5.042 Å, c = 20.595 Å, α = 90.00°, β = 90.00° and γ = 90.00°. The distinct sites, in fractional coordinates, are Tb at (0.000, 0.000, 0.000), Pr at (0.000, 0.500, 0.131), Pr at (0.000, 0.500, 0.377), Pr at (0.500, 0.500, 0.000), Pr at (0.500, 0.500, 0.254), Pr at (0.500, 0.500, 0.500), Tl at (0.000, 0.000, 0.256) and Tl at (0.000, 0.000, 0.500).

11.
VASP calculation (PBE) on an optimized crystal structure of Tb3Pr3Tl2.

The crystal system is orthorhombic. For the calculated formation energy, the calculation gives -0.12 eV/atom. Its energy above the lowest structure with this stoichiometry is 0.018 eV per atom.

It has space group Cmcm (No. 63), with a = 5.227 Å, b = 12.247 Å, c = 16.317 Å, α = 90.00°, β = 90.00° and γ = 90.00°. The distinct sites, in fractional coordinates, are Tb at (0.000, 0.062, 0.250), Tb at (0.000, 0.134, 0.537), Pr at (0.000, 0.219, 0.750), Pr at (0.000, 0.457, 0.606) and Tl at (0.000, 0.268, 0.128).

| no. | V (Å³/cell) | total moment (μB/f.u.) | raw total energy (eV per atom) |
| --- | --- | --- | --- |
| 1 | 861.3 | 0.001 | -3.99 |
| 2 | 455.6 | 0.000 | -4.22 |
| 3 | 1006.8 | 0.000 | -4.34 |
| 4 | 452.8 | 0.000 | -4.44 |
| 5 | 385.0 | 0.001 | -4.20 |
| 6 | 490.2 | 0.003 | -4.11 |
| 7 | 94.1 | 0.000 | -4.09 |
| 8 | 697.5 | 0.000 | -3.56 |
| 9 | 301.3 | 0.000 | -4.04 |
| 10 | 523.7 | 0.000 | -4.47 |
| 11 | 1044.5 | 0.000 | -4.24 |